1.
SmGd2Zn after structural relaxation, computed with PBE.

The formation energy is 261 meV/atom.

The structure belongs to space group R-3m (No. 166, hexagonal axes); the cell edges are 3.5009, 3.5009 and 35.6070 Å and the angles 90.00°, 90.00° and 120.00°. The distinct sites, in fractional coordinates, are Sm at (0.0000, 0.0000, 0.0000), Gd at (0.0000, 0.0000, 0.4143) and Zn at (0.0000, 0.0000, 0.5000).


2.
Dy4Tl5Pt2 after structural relaxation, computed with PBE.

The formation energy is -619 meV/atom.

The structure belongs to space group P2/m (No. 10); the cell edges are 7.9846, 3.6491 and 9.7492 Å and the angles 90.00°, 93.83° and 90.00°. The distinct sites, in fractional coordinates, are Dy at (0.1921, 0.0000, 0.3455), Dy at (0.2094, 0.0000, 0.9294), Tl at (0.1508, 0.5000, 0.6340), Tl at (0.4625, 0.5000, 0.1658), Tl at (0.5000, 0.5000, 0.5000) and Pt at (0.0803, 0.5000, 0.1352).


3.
NdEr3Sc2 after structural relaxation, computed with PBE.

The formation energy is 150 meV/atom.

The structure belongs to space group C2/m (No. 12); the cell edges are 22.5304, 3.3923 and 9.8781 Å and the angles 90.00°, 108.05° and 90.00°. The distinct sites, in fractional coordinates, are Nd at (0.1817, 0.0000, 0.0457), Er at (0.0600, 0.0000, 0.4374), Er at (0.0668, 0.5000, 0.7671), Er at (0.1968, 0.0000, 0.7089), Sc at (0.0691, 0.5000, 0.1425) and Sc at (0.1923, 0.0000, 0.3751).


4.
OsCl after structural relaxation, computed with PBE.

The structure belongs to space group P6_3/mmc (No. 194); the cell edges are 3.6698, 3.6698 and 5.6828 Å and the angles 90.00°, 90.00° and 120.00°. The distinct sites, in fractional coordinates, are Os at (0.3333, 0.6667, 0.2500) and Cl at (0.0000, 0.0000, 0.0000).


5.
Ni7GeAs2H2 after structural relaxation, computed with PBE.

The structure belongs to space group C2/m (No. 12); the cell edges are 5.1460, 5.1594 and 9.7336 Å and the angles 90.00°, 101.82° and 90.00°. The distinct sites, in fractional coordinates, are Ni at (0.0000, 0.0000, 0.0000), Ni at (0.1385, 0.0000, 0.3912), Ni at (0.1814, 0.2513, 0.8074), Ge at (0.0000, 0.5000, 0.0000), As at (0.1431, 0.5000, 0.3730) and H at (0.0649, 0.0000, 0.1854).


6.
HfAlOF2 after structural relaxation, computed with PBE.

The structure belongs to space group P4/mmm (No. 123); the cell edges are 4.3532, 4.3532 and 4.0491 Å and the angles 90.00°, 90.00° and 90.00°. The distinct sites, in fractional coordinates, are Hf at (0.0000, 0.0000, 0.0000), Al at (0.5000, 0.5000, 0.5000), O at (0.0000, 0.0000, 0.5000) and F at (0.0000, 0.5000, 0.0000).


no.,E_tot (eV/atom)
1,-8.278
2,-4.467
3,-5.037
4,-4.294
5,-5.264
6,-6.684